The following is a DFT calculation (PBE) of crystalline PmSm3Hg7 at its relaxed geometry.

Cell: 12.634 12.634 13.148 Å, 90.00 90.00 163.04°
Element x y z (fractional)
Hg: 0.460 0.540 0.089
Hg: 0.307 0.693 0.250
Hg: 0.598 0.402 0.115
Hg: 0.402 0.598 0.885
Hg: 0.460 0.540 0.411
Sm: 0.856 0.144 0.429
Hg: 0.540 0.460 0.589
Sm: 0.144 0.856 0.571
Sm: 0.178 0.822 0.250
Sm: 0.144 0.856 0.929
Hg: 0.273 0.727 0.920
Pm: 0.981 0.019 0.750
Hg: 0.727 0.273 0.420
Hg: 0.727 0.273 0.080
Hg: 0.540 0.460 0.911
Hg: 0.273 0.727 0.580
Sm: 0.856 0.144 0.071
Hg: 0.693 0.307 0.750
Pm: 0.019 0.981 0.250
Hg: 0.598 0.402 0.385
Sm: 0.822 0.178 0.750
Hg: 0.402 0.598 0.615

Output
- SG: No. 63
- Energy of formation from the pure elements: -0.33 eV per atom
- Calculated density: 10.85 Mg/m³
- Total energy: -49.32 eV/cell